Entry 1:
# TmPd5Pt6 | the Alexandria database | PBE | optimized geometry
data_TmPd5Pt6
_cell_length_a 3.980
_cell_length_b 8.112
_cell_length_c 11.927
_cell_angle_alpha 90.00
_cell_angle_beta 90.00
_cell_angle_gamma 90.00
_space_group_name_H-M_alt 'I m m m'
_space_group_IT_number 71
_space_group_name_Hall '-I 2 2'
loop_
_atom_site_label
_atom_site_type_symbol
_atom_site_fract_x
_atom_site_fract_y
_atom_site_fract_z
_atom_site_occupancy
Tm1 Tm 0.000 0.000 0.000 1
Pd1 Pd 0.000 0.000 0.334 1
Pd2 Pd 0.000 0.500 0.000 1
Pd3 Pd 0.000 0.500 0.333 1
Pt1 Pt 0.000 0.244 0.500 1
Pt2 Pt 0.000 0.252 0.168 1
# * calculated volume: 16.05 A^3/atom
# * raw total energy: -141.74 eV per cell
# * density of states at the Fermi level: 37.9 states/eV per cell
# * energy of formation from the pure elements: -0.349 eV per atom


Entry 2:
# Ta2BeGa2 | the Alexandria database | PBE | optimized geometry
data_Ta2BeGa2
_cell_length_a 6.143
_cell_length_b 6.143
_cell_length_c 4.068
_cell_angle_alpha 90.00
_cell_angle_beta 90.00
_cell_angle_gamma 90.00
_space_group_name_H-M_alt 'P 4/m b m'
_space_group_IT_number 127
_space_group_name_Hall '-P 4 2ab'
loop_
_atom_site_label
_atom_site_type_symbol
_atom_site_fract_x
_atom_site_fract_y
_atom_site_fract_z
_atom_site_occupancy
Ta1 Ta 0.174 0.326 0.000 1
Be1 Be 0.000 0.000 0.500 1
Ga1 Ga 0.138 0.638 0.500 1
# * calculated volume: 15.35 A^3/atom
# * raw total energy: -66.38 eV per cell
# * density of states at the Fermi level: 6.2 states/eV per cell
# * energy of formation from the pure elements: 0.059 eV per atom